Here is crystalline KRb3As at its relaxed geometry from the Alexandria database. Energies are from GGA-PBE.

a b c (Å): 6.9256 6.9256 6.9256
angles (deg): 90.00 90.00 90.00
Positions (direct):
K (0.0000, 0.0000, 0.0000)
Rb (0.0000, 0.5000, 0.5000)
Rb (0.5000, 0.0000, 0.5000)
Rb (0.5000, 0.5000, 0.0000)
As (0.5000, 0.5000, 0.5000)

Electronic total energy   -1.82 eV/atom
E_form   -0.086 eV per atom